Entry 1:
Ta2Mn2Os: optimized geometry, GGA-PBE.

a b c (Å): 3.0685 3.0685 16.1377
angles (deg): 90.00 90.00 90.00
With the nearest neighbours (Å) after each atom.
Space group I4/mmm (No. 139)
Symmetry-distinct sites (fractional):
Ta  0.0000  0.0000  0.1060 x4  4 Os 2.76, 4 Mn 2.78, 4 Ta 3.07
Mn  0.0000  0.5000  0.2500 x4  4 Mn 2.17
Os  0.0000  0.0000  0.5000 x2  8 Ta 2.76, 4 Os 3.07

- distance to the lowest polymorph of the same formula (meV per atom) = 106
- formation energy from the elements (eV/atom) = 0.15
- total DFT energy (no corrections) (eV/cell) = -105.1
- theoretical density (g cm⁻³) = 14.5

=====

Entry 2:
Ta2MnOs: optimized geometry, GGA-PBE.

a b c (Å): 3.1364 4.3714 9.0438
angles (deg): 90.00 90.00 90.00
With the nearest neighbours (Å) after each atom.
Space group Imm2 (No. 44)
Symmetry-distinct sites (fractional):
Ta  0.0000  0.0000  0.0000 x2  2 Mn 2.64, 4 Os 2.69, 2 Ta 2.81
Ta  0.0000  0.5000  0.2421 x2  4 Mn 2.69, 2 Os 2.72, 2 Ta 2.81
Mn  0.0000  0.5000  0.7344 x2  6 Ta 2.64-2.69, 2 Os 2.84
Os  0.0000  0.0000  0.4963 x2  6 Ta 2.69-2.72, 2 Mn 2.84

- distance to the lowest polymorph of the same formula (meV per atom) = 136
- formation energy from the elements (eV/atom) = -0.14
- total DFT energy (no corrections) (eV/cell) = -89.3
- theoretical density (g cm⁻³) = 16.3

=====

Entry 3:
Ta2MnOs: optimized geometry, GGA-PBE.

a b c (Å): 3.2214 4.3170 4.5134
angles (deg): 90.00 90.00 90.00
With the nearest neighbours (Å) after each atom.
Space group Pmmm (No. 47)
Symmetry-distinct sites (fractional):
Ta  0.0000  0.0000  0.0000 x1  4 Os 2.69, 4 Ta 2.77
Ta  0.5000  0.0000  0.5000 x1  4 Mn 2.69, 4 Ta 2.77
Mn  0.0000  0.5000  0.5000 x1  4 Ta 2.69, 4 Os 2.77
Os  0.5000  0.5000  0.0000 x1  4 Ta 2.69, 4 Mn 2.77

- distance to the lowest polymorph of the same formula (meV per atom) = 184
- formation energy from the elements (eV/atom) = -0.09
- total DFT energy (no corrections) (eV/cell) = -44.5
- theoretical density (g cm⁻³) = 16.1

=====

Entry 4:
TmTaMnOs: optimized geometry, GGA-PBE.

a b c (Å): 6.4421 6.4421 6.4421
angles (deg): 90.00 90.00 90.00
With the nearest neighbours (Å) after each atom.
Space group F-43m (No. 216)
Symmetry-distinct sites (fractional):
Tm  0.0000  0.0000  0.0000 x4  4 Os 2.79, 4 Mn 2.79
Ta  0.0000  0.0000  0.5000 x4  4 Mn 2.79, 4 Os 2.79
Mn  0.2500  0.2500  0.7500 x4  4 Ta 2.79, 4 Tm 2.79
Os  0.2500  0.2500  0.2500 x4  4 Ta 2.79, 4 Tm 2.79

- formation energy from the elements (eV/atom) = -0.10
- total DFT energy (no corrections) (eV/cell) = -148.5
- theoretical density (g cm⁻³) = 14.8

=====

Entry 5:
Ta2MnV2Os5: optimized geometry, GGA-PBE.

a b c (Å): 8.8898 8.8898 3.8787
angles (deg): 90.00 90.00 90.00
With the nearest neighbours (Å) after each atom.
Space group P4/mbm (No. 127)
Symmetry-distinct sites (fractional):
Ta  0.1839  0.3161  0.0000 x4  3 V 2.50-2.74
Mn  0.0000  0.0000  0.0000 x2  8 Os 2.68
V  0.1169  0.6169  0.0000 x4  6 Os 2.43-2.58, 1 Ta 2.50
Os  0.0000  0.5000  0.5000 x2  4 V 2.43, 4 Os 2.71
Os  0.0583  0.7995  0.5000 x8  2 V 2.58, 3 Os 2.63-2.71, 2 Mn 2.68

- formation energy from the elements (eV/atom) = 0.07
- total DFT energy (no corrections) (eV/cell) = -213.1
- theoretical density (g cm⁻³) = 15.9

=====

Entry 6:
Y2TaMnOs: optimized geometry, GGA-PBE.

a b c (Å): 4.9555 4.9555 4.4860
angles (deg): 90.00 90.00 90.00
With the nearest neighbours (Å) after each atom.
Space group P4/mmm (No. 123)
Symmetry-distinct sites (fractional):
Y  0.0000  0.5000  0.0000 x2  2 Mn 2.48
Ta  0.0000  0.0000  0.5000 x1  2 Mn 2.24
Mn  0.0000  0.0000  0.0000 x1  2 Ta 2.24, 4 Y 2.48
Os  0.5000  0.5000  0.5000 x1  8 Y 3.34, 4 Ta 3.50

- formation energy from the elements (eV/atom) = 0.95
- total DFT energy (no corrections) (eV/cell) = -40.4
- theoretical density (g cm⁻³) = 9.1

=====

Entry 7:
YTa2MnOs: optimized geometry, GGA-PBE.

a b c (Å): 4.5987 4.5987 4.6820
angles (deg): 90.00 90.00 90.00
With the nearest neighbours (Å) after each atom.
Space group P4/mmm (No. 123)
Symmetry-distinct sites (fractional):
Y  0.0000  0.0000  0.0000 x1  4 Os 3.25, 8 Ta 3.28
Ta  0.0000  0.5000  0.5000 x2  2 Mn 2.30
Mn  0.5000  0.5000  0.5000 x1  4 Ta 2.30, 2 Os 2.34
Os  0.5000  0.5000  0.0000 x1  2 Mn 2.34

- formation energy from the elements (eV/atom) = 0.60
- total DFT energy (no corrections) (eV/cell) = -47.6
- theoretical density (g cm⁻³) = 11.7

=====

Entry 8:
ZrTaMnOs: optimized geometry, GGA-PBE.

a b c (Å): 3.1688 3.1688 6.4225
angles (deg): 90.00 90.00 90.00
With the nearest neighbours (Å) after each atom.
Space group P4mm (No. 99)
Symmetry-distinct sites (fractional):
Zr  0.0000  0.0000  0.0000 x1  4 Mn 2.77, 4 Os 2.84, 1 Ta 3.09
Ta  0.0000  0.0000  0.4811 x1  4 Mn 2.67, 4 Os 2.75
Mn  0.5000  0.5000  0.2546 x1  4 Ta 2.67, 4 Zr 2.77
Os  0.5000  0.5000  0.7285 x1  4 Ta 2.75, 4 Zr 2.84, 1 Mn 3.04

- formation energy from the elements (eV/atom) = -0.32
- total DFT energy (no corrections) (eV/cell) = -42.1
- theoretical density (g cm⁻³) = 13.3